Below is a relaxed structure of Na2Pm2Pb3, with properties calculated at the PBE level.

## Properties
crystal system: monoclinic
ρ: 7.226 g cm⁻³
formation enthalpy at 0 K: -0.261 eV/atom

```
Na2Pm2Pb3
1.0
6.350 0.000 0.000
0.000 8.434 0.000
-0.611 0.000 8.218
Na Pm Pb
4 4 6
direct
0.090 0.183 0.008
0.090 0.317 0.508
0.910 0.683 0.492
0.910 0.817 0.992
0.358 0.648 0.836
0.358 0.852 0.336
0.642 0.148 0.664
0.642 0.352 0.164
0.147 0.524 0.175
0.147 0.976 0.675
0.500 0.000 0.000
0.500 0.500 0.500
0.853 0.024 0.325
0.853 0.476 0.825
```